PrNbCrO6, relaxed, DFT GGA+U; final energy = -8.28 eV/atom; total magnetic moment = 2.00 μB/f.u.; space group = P-31c, No. 163
1.0
5.2120 0.0000 0.0000
-2.6060 4.5137 0.0000
0.0000 0.0000 10.3058
Pr Nb Cr O
2 2 2 12
direct
0.0000 0.0000 0.0000
0.0000 0.0000 0.5000
0.6667 0.3333 0.2500
0.3333 0.6667 0.7500
0.3333 0.6667 0.2500
0.6667 0.3333 0.7500
0.6254 0.6355 0.1438
0.0101 0.3746 0.1438
0.3746 0.0101 0.6438
0.9899 0.6254 0.8562
0.3645 0.3746 0.3562
0.0101 0.6355 0.3562
0.6355 0.0101 0.8562
0.6254 0.9899 0.3562
0.9899 0.3645 0.6438
0.3645 0.9899 0.1438
0.6355 0.6254 0.6438
0.3746 0.3645 0.8562